VASP calculation (PBE-GGA) on a relaxed structure of AcIn2Hg6.

Results
E above lowest polymorph: 0.113 eV/atom

Unit cell a=6.4081 b=6.4081 c=7.9279 alpha=90.00 beta=90.00 gamma=120.00
Space group P6/mmm (No. 191)
Asymmetric unit:
Ac: 0.0000 0.0000 0.0000 [1 per cell]
In: 0.3333 0.6667 0.5000 [2 per cell]
Hg: 0.0000 0.5000 0.1899 [6 per cell]


VASP calculation (PBE-GGA) on a relaxed structure of Ac6InHg3.

Unit cell a=10.507 b=5.586 c=12.750 alpha=90.00 beta=105.52 gamma=90.00
Space group P2_1/m (No. 11)
Asymmetric unit:
Ac: 0.010 0.250 0.392 [2 per cell]
Ac: 0.141 0.750 0.191 [2 per cell]
Ac: 0.238 0.250 0.003 [2 per cell]
Ac: 0.354 0.750 0.842 [2 per cell]
Ac: 0.367 0.250 0.614 [2 per cell]
Ac: 0.385 0.250 0.340 [2 per cell]
In: 0.439 0.750 0.126 [2 per cell]
Hg: 0.038 0.750 0.894 [2 per cell]
Hg: 0.134 0.250 0.730 [2 per cell]
Hg: 0.273 0.750 0.466 [2 per cell]


VASP calculation (PBE-GGA) on a relaxed structure of Ac8In2Hg.

Results
E above lowest polymorph: 0.062 eV/atom

Unit cell a=5.543 b=9.792 c=15.794 alpha=90.00 beta=90.00 gamma=90.00
Space group Immm (No. 71)
Asymmetric unit:
Ac: 0.000 0.000 0.138 [4 per cell]
Ac: 0.000 0.224 0.342 [8 per cell]
Ac: 0.000 0.323 0.000 [4 per cell]
In: 0.000 0.500 0.196 [4 per cell]
Hg: 0.000 0.500 0.500 [2 per cell]


VASP calculation (PBE-GGA) on a relaxed structure of AcIn6Hg2.

Results
E above lowest polymorph: 0.000 eV/atom

Unit cell a=4.628 b=4.628 c=11.698 alpha=90.00 beta=90.00 gamma=90.00
Space group P4/mmm (No. 123)
Asymmetric unit:
Ac: 0.000 0.000 0.000 [1 per cell]
In: 0.000 0.000 0.500 [1 per cell]
In: 0.000 0.500 0.285 [4 per cell]
In: 0.500 0.500 0.500 [1 per cell]
Hg: 0.500 0.500 0.121 [2 per cell]


VASP calculation (PBE-GGA) on a relaxed structure of AcIn3Hg3.

Results
E above lowest polymorph: 0.073 eV/atom

Unit cell a=8.6138 b=8.6138 c=19.5651 alpha=90.00 beta=90.00 gamma=120.00
Space group R-3 (No. 148, hexagonal axes)
Asymmetric unit:
Ac: 0.0000 0.0000 0.1684 [6 per cell]
In: 0.0046 0.3593 0.3748 [18 per cell]
Hg: 0.0024 0.2717 0.5555 [18 per cell]


VASP calculation (PBE-GGA) on a relaxed structure of AcInHg5.

Unit cell a=6.217 b=9.510 c=7.083 alpha=90.00 beta=90.00 gamma=90.00
Space group Cmmm (No. 65)
Asymmetric unit:
Ac: 0.000 0.000 0.000 [2 per cell]
In: 0.000 0.500 0.500 [2 per cell]
Hg: 0.000 0.000 0.500 [2 per cell]
Hg: 0.250 0.250 0.256 [8 per cell]


VASP calculation (PBE-GGA) on a relaxed structure of AcIn2Hg3.

Results
E above lowest polymorph: 0.070 eV/atom

Unit cell a=6.572 b=17.608 c=5.995 alpha=90.00 beta=90.00 gamma=90.00
Space group Cmcm (No. 63)
Asymmetric unit:
Ac: 0.000 0.178 0.250 [4 per cell]
In: 0.239 0.000 0.000 [8 per cell]
Hg: 0.000 0.363 0.750 [4 per cell]
Hg: 0.250 0.155 0.750 [8 per cell]


VASP calculation (PBE-GGA) on a relaxed structure of Ac6In2Hg.

Results
E above lowest polymorph: 0.033 eV/atom

Unit cell a=7.028 b=9.492 c=12.320 alpha=90.00 beta=120.47 gamma=90.00
Space group P2_1/c (No. 14)
Asymmetric unit:
Ac: 0.067 0.164 0.442 [4 per cell]
Ac: 0.332 0.686 0.436 [4 per cell]
Ac: 0.417 0.041 0.284 [4 per cell]
In: 0.175 0.125 0.756 [4 per cell]
Hg: 0.000 0.000 0.000 [2 per cell]


Energy relative to the elements
In order: -61, -324, -142, -138, -142, -160, -218, -223
Unit: meV/atom